Here is an optimized crystal structure of SrMnTeI2 from the Alexandria database. Energies are from PBE-GGA.

a b c (Å): 5.6024 5.6024 5.6655
angles (deg): 90.00 90.00 90.00
Closest atoms and distances in Å follow each position.
Sites, in units of the cell vectors:
I: 0.0000 0.5000 0.0000  2 Mn 2.80
I: 0.5000 0.0000 0.0000  2 Mn 2.80
Sr: 0.5000 0.5000 0.5000  4 Te 3.96, 8 I 3.98
Te: 0.0000 0.0000 0.5000  2 Mn 2.83
Mn: 0.0000 0.0000 0.0000  4 I 2.80, 2 Te 2.83

For the size of the total moment, the calculation gives 4.927 μB/f.u. The calculation puts the raw formation energy at -0.67 eV per atom. The excess energy over the best structure of this formula in the dataset comes out at 0.000 eV/f.u. The calculation puts the calculated total energy at -4.090 eV per atom.